A plane-wave DFT calculation with SCAN was carried out for a crystal of V2SiPb5O12 relaxed with PBEsol.

Properties
DOS(E_F): 0.00 states/eV/f.u.
crystal system: monoclinic
space group: No. 6
energy: -539.5 eV/f.u.

Cell and atoms, written as CIF:
```
data_V2SiPb5O12
_cell_length_a 9.964
_cell_length_b 7.312
_cell_length_c 9.967
_cell_angle_alpha 90.00
_cell_angle_beta 119.35
_cell_angle_gamma 90.00
_symmetry_space_group_name_H-M 'P 1'
_symmetry_Int_Tables_number 1
loop_
_symmetry_equiv_pos_as_xyz
'x,y,z'
loop_
_atom_site_label
_atom_site_type_symbol
_atom_site_fract_x
_atom_site_fract_y
_atom_site_fract_z
V1 V 0.000 0.000 0.000
V2 V 0.035 0.500 0.788
V3 V 0.392 0.500 0.377
V4 V 0.624 0.500 0.019
Si1 Si 0.429 0.000 0.783
Si2 Si 0.640 0.000 0.415
Pb1 Pb 0.018 0.500 0.148
Pb2 Pb 0.275 0.500 0.648
Pb3 Pb 0.282 0.000 0.428
Pb4 Pb 0.362 0.236 0.064
Pb5 Pb 0.362 0.764 0.064
Pb6 Pb 0.675 0.247 0.721
Pb7 Pb 0.675 0.753 0.721
Pb8 Pb 0.765 0.000 0.145
Pb9 Pb 0.770 0.500 0.407
Pb10 Pb 0.993 0.000 0.627
O1 O 0.103 0.316 0.736
O2 O 0.103 0.684 0.736
O3 O 0.112 0.500 0.986
O4 O 0.196 0.000 0.076
O5 O 0.273 0.316 0.312
O6 O 0.273 0.684 0.312
O7 O 0.352 0.000 0.895
O8 O 0.382 0.180 0.668
O9 O 0.382 0.820 0.668
O10 O 0.426 0.500 0.903
O11 O 0.497 0.500 0.577
O12 O 0.511 0.500 0.297
O13 O 0.532 0.000 0.498
O14 O 0.536 0.000 0.226
O15 O 0.620 0.000 0.889
O16 O 0.671 0.314 0.137
O17 O 0.671 0.686 0.137
O18 O 0.721 0.500 0.916
O19 O 0.756 0.179 0.481
O20 O 0.756 0.821 0.481
O21 O 0.835 0.500 0.688
O22 O 0.907 0.000 0.799
O23 O 0.937 0.185 0.057
O24 O 0.937 0.815 0.057
```

=====

A plane-wave DFT calculation with SCAN was carried out for a crystal of Sm2Pb2O7 relaxed with PBEsol.

Properties
crystal system: monoclinic
space group: No. 14
energy: -307.9 eV/f.u.

Cell and atoms, written as CIF:
```
data_Sm2Pb2O7
_cell_length_a 7.328
_cell_length_b 6.940
_cell_length_c 12.840
_cell_angle_alpha 90.00
_cell_angle_beta 102.98
_cell_angle_gamma 90.00
_symmetry_space_group_name_H-M 'P 1'
_symmetry_Int_Tables_number 1
loop_
_symmetry_equiv_pos_as_xyz
'x,y,z'
loop_
_atom_site_label
_atom_site_type_symbol
_atom_site_fract_x
_atom_site_fract_y
_atom_site_fract_z
Sm1 Sm 0.031 0.095 0.350
Sm2 Sm 0.031 0.405 0.850
Sm3 Sm 0.205 0.183 0.109
Sm4 Sm 0.205 0.317 0.609
Sm5 Sm 0.795 0.683 0.391
Sm6 Sm 0.795 0.817 0.891
Sm7 Sm 0.969 0.595 0.150
Sm8 Sm 0.969 0.905 0.650
Pb1 Pb 0.302 0.585 0.394
Pb2 Pb 0.302 0.915 0.894
Pb3 Pb 0.442 0.613 0.110
Pb4 Pb 0.442 0.887 0.610
Pb5 Pb 0.558 0.113 0.390
Pb6 Pb 0.558 0.387 0.890
Pb7 Pb 0.698 0.085 0.106
Pb8 Pb 0.698 0.415 0.606
O1 O 0.053 0.741 0.825
O2 O 0.053 0.759 0.325
O3 O 0.094 0.106 0.928
O4 O 0.094 0.394 0.428
O5 O 0.173 0.504 0.029
O6 O 0.173 0.996 0.529
O7 O 0.285 0.522 0.229
O8 O 0.285 0.978 0.729
O9 O 0.300 0.111 0.288
O10 O 0.300 0.389 0.788
O11 O 0.400 0.578 0.579
O12 O 0.400 0.922 0.079
O13 O 0.492 0.188 0.561
O14 O 0.492 0.312 0.061
O15 O 0.508 0.688 0.939
O16 O 0.508 0.812 0.439
O17 O 0.600 0.078 0.921
O18 O 0.600 0.422 0.421
O19 O 0.700 0.611 0.212
O20 O 0.700 0.889 0.712
O21 O 0.715 0.022 0.271
O22 O 0.715 0.478 0.771
O23 O 0.827 0.004 0.471
O24 O 0.827 0.496 0.971
O25 O 0.906 0.606 0.572
O26 O 0.906 0.894 0.072
O27 O 0.947 0.241 0.675
O28 O 0.947 0.259 0.175
```

=====

A plane-wave DFT calculation with SCAN was carried out for a crystal of Sr2TlPbO relaxed with PBEsol.

Properties
DOS(E_F): 3.39 states/eV/f.u.
crystal system: tetragonal
space group: No. 123
energy: -200.1 eV/f.u.

Cell and atoms, written as CIF:
```
data_Sr2TlPbO
_cell_length_a 6.345
_cell_length_b 6.345
_cell_length_c 4.247
_cell_angle_alpha 90.00
_cell_angle_beta 90.00
_cell_angle_gamma 90.00
_symmetry_space_group_name_H-M 'P 1'
_symmetry_Int_Tables_number 1
loop_
_symmetry_equiv_pos_as_xyz
'x,y,z'
loop_
_atom_site_label
_atom_site_type_symbol
_atom_site_fract_x
_atom_site_fract_y
_atom_site_fract_z
Sr1 Sr 0.000 0.500 0.000
Sr2 Sr 0.500 0.000 0.000
Tl1 Tl 0.000 0.000 0.000
Pb1 Pb 0.500 0.500 0.500
O1 O 0.000 0.000 0.500
```

=====

A plane-wave DFT calculation with SCAN was carried out for a crystal of Sr5ZnPb3O12 relaxed with PBEsol.

Properties
DOS(E_F): 0.00 states/eV/f.u.
crystal system: hexagonal
space group: No. 189
energy: -471.0 eV/f.u.

Cell and atoms, written as CIF:
```
data_Sr5ZnPb3O12
_cell_length_a 10.176
_cell_length_b 10.176
_cell_length_c 3.525
_cell_angle_alpha 90.00
_cell_angle_beta 90.00
_cell_angle_gamma 120.00
_symmetry_space_group_name_H-M 'P 1'
_symmetry_Int_Tables_number 1
loop_
_symmetry_equiv_pos_as_xyz
'x,y,z'
loop_
_atom_site_label
_atom_site_type_symbol
_atom_site_fract_x
_atom_site_fract_y
_atom_site_fract_z
Sr1 Sr 0.000 0.698 0.000
Sr2 Sr 0.302 0.302 0.000
Sr3 Sr 0.333 0.667 0.000
Sr4 Sr 0.667 0.333 0.000
Sr5 Sr 0.698 0.000 0.000
Zn1 Zn 0.000 0.000 0.000
Pb1 Pb 0.000 0.338 0.500
Pb2 Pb 0.338 0.000 0.500
Pb3 Pb 0.662 0.662 0.500
O1 O 0.000 0.183 0.000
O2 O 0.000 0.465 0.000
O3 O 0.183 0.000 0.000
O4 O 0.205 0.761 0.500
O5 O 0.239 0.444 0.500
O6 O 0.444 0.239 0.500
O7 O 0.465 0.000 0.000
O8 O 0.535 0.535 0.000
O9 O 0.556 0.795 0.500
O10 O 0.761 0.205 0.500
O11 O 0.795 0.556 0.500
O12 O 0.817 0.817 0.000
```